1.
Here is Li3CeBi3 after structural relaxation from the Alexandria database. Energies are from PBE-GGA.

DOS at the Fermi energy: 5.312 states/eV/f.u.
E_form: -363.9 meV/atom
Excess energy over the best structure of this formula in the dataset: 0 meV per atom
Space group: R-3
Crystal system: trigonal

Structure (POSCAR):
```
Li3CeBi3
1.0
8.874 0.000 0.000
4.437 7.685 0.000
4.437 2.562 5.967
Li Ce Bi
6 2 6
direct
0.814 0.077 0.752
0.357 0.814 0.752
0.077 0.357 0.752
0.186 0.923 0.248
0.643 0.186 0.248
0.923 0.643 0.248
0.321 0.321 0.037
0.679 0.679 0.963
0.454 0.104 0.742
0.546 0.896 0.258
0.896 0.301 0.258
0.699 0.454 0.742
0.104 0.699 0.742
0.301 0.546 0.258
```


2.
Here is Th6TlOs2Se3 after structural relaxation from the Alexandria database. Energies are from PBE-GGA.

DOS at the Fermi energy: 8.151 states/eV/f.u.
E_tot: -7.56 eV per atom
Space group: C2/m
Crystal system: monoclinic

Structure (POSCAR):
```
Th6TlOs2Se3
1.0
4.192 0.000 0.000
0.000 8.877 0.175
-2.096 -2.717 9.055
Th Tl Se Os
6 1 3 2
direct
0.328 0.879 0.655
0.676 0.569 0.351
0.015 0.271 0.031
0.672 0.121 0.345
0.985 0.729 0.969
0.324 0.431 0.649
0.500 0.000 0.000
0.500 0.500 0.000
0.840 0.160 0.681
0.160 0.840 0.319
0.830 0.660 0.661
0.170 0.340 0.339
```


3.
Here is Mg3InPb2 after structural relaxation from the Alexandria database. Energies are from PBE-GGA.

DOS at the Fermi energy: 2.976 states/eV/f.u.
E_form: -49.7 meV/atom
Excess energy over the best structure of this formula in the dataset: 11 meV per atom
Space group: P4/mmm
Crystal system: tetragonal

Structure (POSCAR):
```
Mg3InPb2
1.0
3.554 0.000 0.000
0.000 3.554 0.000
0.000 0.000 12.083
Mg Pb In
3 2 1
direct
0.000 0.000 0.347
0.000 0.000 0.653
0.000 0.000 0.000
0.500 0.500 0.172
0.500 0.500 0.828
0.500 0.500 0.500
```


4.
Here is Tb2Si3 after structural relaxation from the Alexandria database. Energies are from PBE-GGA.

DOS at the Fermi energy: 1.921 states/eV/f.u.
Excess energy over the best structure of this formula in the dataset: 0 meV per atom
Space group: Cmcm
Crystal system: orthorhombic

Structure (POSCAR):
```
Tb2Si3
1.0
5.316 11.258 -0.335
-7.467 -9.570 -2.791
-2.690 1.347 2.579
Tb Si
4 6
direct
0.570 0.430 0.750
0.703 0.297 0.250
0.297 0.703 0.750
0.430 0.570 0.250
0.025 0.975 0.250
0.823 0.177 0.250
0.881 0.119 0.750
0.177 0.823 0.750
0.119 0.881 0.250
0.975 0.025 0.750
```


5.
Here is TiBe2Sn after structural relaxation from the Alexandria database. Energies are from PBE-GGA.

DOS at the Fermi energy: 1.551 states/eV/f.u.
E_form: -43.4 meV/atom
Space group: P4/mmm
Crystal system: tetragonal

Structure (POSCAR):
```
TiBe2Sn
1.0
-2.627 -1.802 1.868
-1.674 -1.037 -3.354
2.162 -3.233 -0.079
Ti Sn Be
1 1 2
direct
0.500 0.500 0.500
0.500 0.000 0.000
0.000 0.000 0.500
0.000 0.500 0.000
```


6.
Here is Dy3YEr3Se8 after structural relaxation from the Alexandria database. Energies are from PBE-GGA.

DOS at the Fermi energy: 6.053 states/eV/f.u.
E_tot: -5.94 eV per atom
Space group: R-3m
Crystal system: trigonal

Structure (POSCAR):
```
Dy3YEr3Se8
1.0
8.085 0.000 0.000
-4.043 7.003 -0.024
0.000 -4.646 6.621
Se Dy Er Y
8 3 3 1
direct
0.257 0.002 0.248
0.749 0.498 0.747
0.255 0.510 0.752
0.251 0.502 0.253
0.745 0.002 0.248
0.745 0.490 0.248
0.255 0.998 0.752
0.743 0.998 0.752
0.000 0.500 0.000
0.000 0.000 0.000
0.500 0.500 0.000
0.500 0.000 0.500
0.500 0.500 0.500
0.000 0.500 0.500
0.000 0.000 0.500
```


7.
Here is AlHgSb2 after structural relaxation from the Alexandria database. Energies are from PBE-GGA.

DOS at the Fermi energy: 1.794 states/eV/f.u.
Excess energy over the best structure of this formula in the dataset: 184 meV per atom
Space group: P4/mmm
Crystal system: tetragonal

Structure (POSCAR):
```
AlHgSb2
1.0
-5.052 -0.738 -1.660
-1.656 -0.167 5.104
-0.477 3.369 -0.045
Sb Al Hg
2 1 1
direct
0.500 0.500 0.000
0.000 0.000 0.000
0.500 0.000 0.500
0.000 0.500 0.500
```


8.
Here is Y2ScPt after structural relaxation from the Alexandria database. Energies are from PBE-GGA.

DOS at the Fermi energy: 4.656 states/eV/f.u.
E_form: -410.7 meV/atom
Excess energy over the best structure of this formula in the dataset: 227 meV per atom
Space group: R-3m
Crystal system: trigonal

Structure (POSCAR):
```
Y2ScPt
1.0
-4.569 3.829 -7.484
-4.816 0.240 -8.264
-7.248 1.799 -5.982
Y Pt Sc
2 1 1
direct
0.984 0.984 0.984
0.516 0.516 0.516
0.250 0.250 0.250
0.750 0.750 0.750
```


9.
Here is LaErGe2Pt5 after structural relaxation from the Alexandria database. Energies are from PBE-GGA.

DOS at the Fermi energy: 2.819 states/eV/f.u.
E_form: -866.3 meV/atom
Space group: P4/mmm
Crystal system: tetragonal

Structure (POSCAR):
```
LaErGe2Pt5
1.0
-3.374 2.753 0.132
-2.591 -3.097 -1.636
-1.937 -2.773 8.315
Pt Ge Er La
5 2 1 1
direct
0.000 0.500 0.264
0.000 0.500 0.736
0.500 0.500 0.500
0.500 0.000 0.736
0.500 0.000 0.264
0.500 0.500 0.135
0.500 0.500 0.865
0.000 0.000 0.000
0.000 0.000 0.500
```


10.
Here is SmThGaRu after structural relaxation from the Alexandria database. Energies are from PBE-GGA.

DOS at the Fermi energy: 3.182 states/eV/f.u.
E_form: -563.1 meV/atom
Excess energy over the best structure of this formula in the dataset: 0 meV per atom
Space group: Amm2
Crystal system: orthorhombic

Structure (POSCAR):
```
SmThGaRu
1.0
-1.249 -3.776 -1.351
3.564 -0.703 -1.330
2.102 -0.463 5.878
Ru Sm Th Ga
1 1 1 1
direct
0.411 0.000 0.822
0.148 0.000 0.297
0.871 0.500 0.743
0.569 0.500 0.138
```


11.
Here is Co2Sb after structural relaxation from the Alexandria database. Energies are from PBE-GGA.

DOS at the Fermi energy: 3.864 states/eV/f.u.
E_tot: -5.49 eV per atom
Space group: Pa-3
Crystal system: cubic

Structure (POSCAR):
```
Co2Sb
1.0
-3.957 -3.304 2.858
1.395 -4.610 -3.398
4.140 -1.605 3.877
Co Sb
8 4
direct
0.391 0.391 0.609
0.891 0.391 0.891
0.891 0.109 0.391
0.609 0.609 0.391
0.109 0.891 0.609
0.109 0.609 0.109
0.609 0.891 0.891
0.391 0.109 0.109
0.500 0.500 0.000
0.500 0.000 0.500
0.000 0.500 0.500
0.000 0.000 0.000
```


12.
Here is Pr2Sm4DyHo after structural relaxation from the Alexandria database. Energies are from PBE-GGA.

DOS at the Fermi energy: 11.598 states/eV/f.u.
E_form: 16.6 meV/atom
Space group: P2/m
Crystal system: monoclinic

Structure (POSCAR):
```
Pr2Sm4DyHo
1.0
5.134 0.000 0.000
0.000 5.030 0.957
0.000 3.135 11.033
Dy Ho Sm Pr
1 1 4 2
direct
0.500 0.500 0.000
0.000 0.500 0.500
0.000 0.751 0.749
0.000 0.249 0.251
0.500 0.250 0.750
0.500 0.750 0.250
0.500 0.000 0.500
0.000 0.000 0.000
```


13.
Here is PrMg2CdAu2 after structural relaxation from the Alexandria database. Energies are from PBE-GGA.

DOS at the Fermi energy: 4.609 states/eV/f.u.
E_form: -558.7 meV/atom
Space group: P-3m1
Crystal system: trigonal

Structure (POSCAR):
```
PrMg2CdAu2
1.0
-4.186 2.182 0.476
1.089 -3.678 2.793
2.751 4.281 4.566
Pr Mg Cd Au
1 2 1 2
direct
0.000 0.000 0.000
0.333 0.667 0.674
0.667 0.333 0.326
0.000 0.000 0.500
0.333 0.667 0.250
0.667 0.333 0.750
```


14.
Here is TaTlNi2 after structural relaxation from the Alexandria database. Energies are from PBE-GGA.

DOS at the Fermi energy: 2.324 states/eV/f.u.
E_form: 172.8 meV/atom
Excess energy over the best structure of this formula in the dataset: 158 meV per atom
Space group: Amm2
Crystal system: orthorhombic

Structure (POSCAR):
```
TaTlNi2
1.0
-4.178 0.546 -0.020
-0.398 -3.029 0.399
-0.140 -0.890 4.988
Ni Ta Tl
2 1 1
direct
0.500 0.048 0.279
0.000 0.193 0.989
0.000 0.479 0.418
0.500 0.780 0.815
```


15.
Here is NdTcSb2 after structural relaxation from the Alexandria database. Energies are from PBE-GGA.

DOS at the Fermi energy: 3.462 states/eV/f.u.
E_tot: -5.43 eV per atom
Space group: R-3m
Crystal system: trigonal

Structure (POSCAR):
```
NdTcSb2
1.0
-1.529 0.739 -2.801
-1.107 -2.394 -1.943
-10.300 -0.402 3.599
Sb Nd Tc
2 1 1
direct
0.918 0.918 0.246
0.082 0.082 0.754
0.500 0.500 0.500
0.000 0.000 0.000
```


16.
Here is CaCo2Ni after structural relaxation from the Alexandria database. Energies are from PBE-GGA.

DOS at the Fermi energy: 6.384 states/eV/f.u.
E_form: 423.2 meV/atom
Space group: I-4m2
Crystal system: tetragonal

Structure (POSCAR):
```
CaCo2Ni
1.0
-3.528 -1.114 -2.443
0.648 -4.379 0.241
-0.226 2.635 3.558
Ca Co Ni
1 2 1
direct
0.750 0.250 0.500
0.000 0.000 0.000
0.250 0.750 0.500
0.500 0.500 0.000
```


17.
Here is RbNaTl2Sb2 after structural relaxation from the Alexandria database. Energies are from PBE-GGA.

DOS at the Fermi energy: 0.775 states/eV/f.u.
E_tot: -2.80 eV per atom
Space group: P-3m1
Crystal system: trigonal

Structure (POSCAR):
```
RbNaTl2Sb2
1.0
5.345 0.000 0.000
-2.672 4.629 0.000
0.000 0.000 8.530
Rb Sb Tl Na
1 2 2 1
direct
0.000 0.000 0.000
0.667 0.333 0.724
0.333 0.667 0.276
0.333 0.667 0.643
0.667 0.333 0.357
0.000 0.000 0.500
```


18.
Here is NiAg2P after structural relaxation from the Alexandria database. Energies are from PBE-GGA.

DOS at the Fermi energy: 1.694 states/eV/f.u.
E_form: 30.6 meV/atom
Space group: R3m
Crystal system: trigonal

Structure (POSCAR):
```
NiAg2P
1.0
-3.436 6.361 4.861
-4.005 4.064 6.583
-1.393 5.377 6.711
P Ni Ag
1 1 2
direct
0.767 0.767 0.767
0.488 0.488 0.488
0.004 0.004 0.004
0.241 0.241 0.241
```


19.
Here is CaZr2Cu after structural relaxation from the Alexandria database. Energies are from PBE-GGA.

DOS at the Fermi energy: 5.354 states/eV/f.u.
E_form: 297.3 meV/atom
Excess energy over the best structure of this formula in the dataset: 286 meV per atom
Space group: R-3m
Crystal system: trigonal

Structure (POSCAR):
```
CaZr2Cu
1.0
-3.679 -5.468 -7.982
-4.903 -7.241 -5.539
-6.503 -4.611 -6.603
Cu Zr Ca
1 2 1
direct
0.750 0.750 0.750
0.484 0.484 0.484
0.016 0.016 0.016
0.250 0.250 0.250
```


20.
Here is ZnFe2Ag after structural relaxation from the Alexandria database. Energies are from PBE-GGA.

DOS at the Fermi energy: 2.475 states/eV/f.u.
E_form: 137.9 meV/atom
Space group: Pmm2
Crystal system: orthorhombic

Structure (POSCAR):
```
ZnFe2Ag
1.0
-1.830 0.081 -2.315
-0.238 -2.978 0.084
-5.172 -2.478 4.003
Fe Zn Ag
2 1 1
direct
0.500 0.268 0.232
0.000 0.956 0.044
0.000 0.530 0.470
0.500 0.746 0.754
```


21.
Here is LaYAu4 after structural relaxation from the Alexandria database. Energies are from PBE-GGA.

DOS at the Fermi energy: 3.156 states/eV/f.u.
E_form: -804.8 meV/atom
Excess energy over the best structure of this formula in the dataset: 0 meV per atom
Space group: P-1
Crystal system: triclinic

Structure (POSCAR):
```
LaYAu4
1.0
3.630 -1.026 0.690
-0.647 5.274 0.443
0.744 0.736 7.677
Au Y La
4 1 1
direct
0.353 0.008 0.810
0.174 0.504 0.657
0.649 0.986 0.186
0.828 0.490 0.339
0.001 0.997 0.498
0.501 0.497 0.998
```


22.
Here is AcNbAg2O6 after structural relaxation from the Alexandria database. Energies are from PBE-GGA.

E_tot: -6.68 eV per atom
Space group: P1
Crystal system: triclinic

Structure (POSCAR):
```
AcNbAg2O6
1.0
5.850 -0.055 0.121
2.879 4.769 0.185
3.015 1.699 5.675
O Nb Ag Ac
6 1 2 1
direct
0.369 0.709 0.826
0.622 0.191 0.203
0.986 0.588 0.226
0.093 0.378 0.835
0.655 0.134 0.792
0.210 0.997 0.292
0.331 0.301 0.018
0.012 0.987 0.993
0.575 0.576 0.259
0.809 0.801 0.572
```


23.
Here is SiS3N after structural relaxation from the Alexandria database. Energies are from PBE-GGA.

DOS at the Fermi energy: 2.549 states/eV/f.u.
Excess energy over the best structure of this formula in the dataset: 0 meV per atom
Space group: Pm-3m
Crystal system: cubic

Structure (POSCAR):
```
SiS3N
1.0
4.144 0.000 0.000
0.000 4.144 0.000
0.000 0.000 4.144
Si S N
1 3 1
direct
0.500 0.500 0.500
0.500 0.000 0.000
0.000 0.000 0.500
0.000 0.500 0.000
0.000 0.000 0.000
```


24.
Here is Mg2Sc5GaRu2 after structural relaxation from the Alexandria database. Energies are from PBE-GGA.

DOS at the Fermi energy: 9.109 states/eV/f.u.
E_form: -333.5 meV/atom
Space group: P4/mbm
Crystal system: tetragonal

Structure (POSCAR):
```
Mg2Sc5GaRu2
1.0
3.333 0.000 0.000
0.000 11.216 0.000
0.000 0.000 11.216
Ru Sc Mg Ga
4 10 4 2
direct
0.000 0.869 0.369
0.000 0.631 0.869
0.000 0.369 0.131
0.000 0.131 0.631
0.500 0.799 0.933
0.500 0.000 0.500
0.500 0.299 0.567
0.500 0.067 0.799
0.500 0.500 0.000
0.500 0.433 0.299
0.500 0.701 0.433
0.500 0.201 0.067
0.500 0.567 0.701
0.500 0.933 0.201
0.000 0.178 0.322
0.000 0.822 0.678
0.000 0.322 0.822
0.000 0.678 0.178
0.000 0.000 0.000
0.000 0.500 0.500
```


25.
Here is InCu2Br after structural relaxation from the Alexandria database. Energies are from PBE-GGA.

DOS at the Fermi energy: 1.951 states/eV/f.u.
Excess energy over the best structure of this formula in the dataset: 132 meV per atom
Space group: P4mm
Crystal system: tetragonal

Structure (POSCAR):
```
InCu2Br
1.0
-2.421 -0.004 -2.279
-1.719 -2.181 1.828
-3.245 5.441 3.440
Cu Br In
2 1 1
direct
0.500 0.500 0.200
0.000 0.000 0.039
0.500 0.500 0.836
0.000 0.000 0.425
```


Values of magnetic moment, in order: 0.5, 0.0, 0.0, 0.0, 0.0, 0.0, 0.0, 0.0, 0.0, 0.0, 1.0, 0.0, 0.0, 0.0, 1.4, 3.3, 0.0, 0.0, 0.0, 4.8, 0.0, 0.0, 0.0, 0.0, 0.0, all in μB per formula unit.